(1)
# PBE PrZn4Au8, relaxed
data_PrZn4Au8
_space_group_name_H-M_alt 'I 4/m m m'
_space_group_IT_number 139
_space_group_name_Hall '-I 4 2'
_cell_length_a 9.362
_cell_length_b 9.362
_cell_length_c 5.402
_cell_angle_alpha 90.00
_cell_angle_beta 90.00
_cell_angle_gamma 90.00
loop_
_atom_site_label
_atom_site_fract_x
_atom_site_fract_y
_atom_site_fract_z
Pr1 0.000 0.000 0.000
Zn1 0.250 0.250 0.250
Au1 0.000 0.217 0.500
Au2 0.000 0.338 0.000
# Energy above the most stable polymorph in this dataset ... 0 meV per atom
# Final energy ... -3.13 eV per atom
# Energy of formation from the pure elements ... -353 meV/atom



(2)
# PBE Pr3Zn2Au3, relaxed
data_Pr3Zn2Au3
_space_group_name_H-M_alt 'C m c m'
_space_group_IT_number 63
_space_group_name_Hall '-C 2c 2'
_cell_length_a 4.590
_cell_length_b 10.863
_cell_length_c 15.314
_cell_angle_alpha 90.00
_cell_angle_beta 90.00
_cell_angle_gamma 90.00
loop_
_atom_site_label
_atom_site_fract_x
_atom_site_fract_y
_atom_site_fract_z
Pr1 0.000 0.090 0.102
Pr2 0.000 0.373 0.250
Zn1 0.000 0.208 0.599
Au1 0.000 0.339 0.750
Au2 0.000 0.385 0.046
# Final energy ... -3.99 eV per atom
# Energy of formation from the pure elements ... -648 meV/atom



(3)
# PBE Pr4Zn2Au5, relaxed
data_Pr4Zn2Au5
_space_group_name_H-M_alt 'P 1 2/m 1'
_space_group_IT_number 10
_cell_length_a 7.803
_cell_length_b 3.876
_cell_length_c 8.940
_cell_angle_alpha 90.00
_cell_angle_beta 92.91
_cell_angle_gamma 90.00
loop_
_space_group_symop_operation_xyz
'x,y,z'
'-x,-y,-z'
'-x,y,-z'
'x,-y,z'
loop_
_atom_site_label
_atom_site_fract_x
_atom_site_fract_y
_atom_site_fract_z
Pr1 0.217 0.000 0.362
Pr2 0.275 0.000 0.870
Zn1 0.438 0.500 0.621
Au1 0.000 0.500 0.000
Au2 0.104 0.500 0.635
Au3 0.379 0.500 0.126
# Final energy ... -4.11 eV per atom
# Energy of formation from the pure elements ... -650 meV/atom



Which formula does entry 1 have? PrZn4Au8



Repeat the second record exactly.
# PBE Pr3Zn2Au3, relaxed
data_Pr3Zn2Au3
_space_group_name_H-M_alt 'C m c m'
_space_group_IT_number 63
_space_group_name_Hall '-C 2c 2'
_cell_length_a 4.590
_cell_length_b 10.863
_cell_length_c 15.314
_cell_angle_alpha 90.00
_cell_angle_beta 90.00
_cell_angle_gamma 90.00
loop_
_atom_site_label
_atom_site_fract_x
_atom_site_fract_y
_atom_site_fract_z
Pr1 0.000 0.090 0.102
Pr2 0.000 0.373 0.250
Zn1 0.000 0.208 0.599
Au1 0.000 0.339 0.750
Au2 0.000 0.385 0.046
# Final energy ... -3.99 eV per atom
# Energy of formation from the pure elements ... -648 meV/atom